Entry 1:
First-principles (PBE) data for a geometry-optimized YCoGe2 structure, as listed in OQMD. Values from VASP.

Quantum ESPRESSO input file:
```
&SYSTEM
  ibrav = 0, nat = 4, ntyp = 3
/
ATOMIC_SPECIES
Co 58.93 Co.upf
Ge 72.64 Ge.upf
Y 88.91 Y.upf
CELL_PARAMETERS angstrom
0.621 -1.133 4.455
-2.874 -3.009 2.050
1.502 -4.242 1.127
ATOMIC_POSITIONS crystal
Co 0.500 0.500 0.500
Ge 0.250 0.250 0.250
Ge 0.000 0.000 0.000
Y 0.750 0.750 0.750
```

## Properties
The theoretical density is 6.90 g/cm3. The calculation puts the size of the total moment at 0.0 μB/f.u. As for the energy: -5.798 eV per atom.

***

Entry 2:
First-principles (PBE) data for a geometry-optimized HgTePdO structure, as listed in OQMD. Values from VASP.

Quantum ESPRESSO input file:
```
&SYSTEM
  ibrav = 0, nat = 8, ntyp = 4
/
ATOMIC_SPECIES
O 16.00 O.upf
Te 127.60 Te.upf
Hg 200.59 Hg.upf
Pd 106.42 Pd.upf
CELL_PARAMETERS angstrom
-2.052 3.754 -5.525
1.879 -6.207 2.604
-5.804 -1.193 1.345
ATOMIC_POSITIONS crystal
O 0.103 0.897 0.038
O 0.897 0.103 0.538
Te 0.610 0.390 0.543
Te 0.390 0.610 0.043
Hg 0.714 0.286 0.024
Hg 0.286 0.714 0.524
Pd 0.000 0.000 0.788
Pd 0.000 0.000 0.288
```

## Properties
The theoretical density is 9.60 g/cm3. The energy relative to the lowest polymorph listed for this composition is 8.3 kJ per mole of atoms. As for the energy: -3.595 eV per atom.

***

Entry 3:
First-principles (PBE) data for a geometry-optimized NbAu3O4 structure, as listed in OQMD. Values from VASP.

Quantum ESPRESSO input file:
```
&SYSTEM
  ibrav = 0, nat = 8, ntyp = 3
/
ATOMIC_SPECIES
O 16.00 O.upf
Nb 92.91 Nb.upf
Au 196.97 Au.upf
CELL_PARAMETERS angstrom
6.561 1.508 0.134
2.779 4.976 3.584
-4.274 -5.176 0.520
ATOMIC_POSITIONS crystal
O 0.000 0.500 0.500
O 0.500 0.000 0.500
O 0.840 0.840 0.000
O 0.160 0.160 0.000
Nb 0.000 0.000 0.000
Au 0.250 0.750 0.500
Au 0.500 0.500 0.000
Au 0.750 0.250 0.500
```

## Properties
The theoretical density is 10.86 g/cm3. The calculation puts the size of the total moment at 0.0 μB/f.u. As for the energy: -5.431 eV per atom.

***

Entry 4:
First-principles (PBE) data for a geometry-optimized Hf2CuRe structure, as listed in OQMD. Values from VASP.

Quantum ESPRESSO input file:
```
&SYSTEM
  ibrav = 0, nat = 4, ntyp = 3
/
ATOMIC_SPECIES
Cu 63.55 Cu.upf
Hf 178.49 Hf.upf
Re 186.21 Re.upf
CELL_PARAMETERS angstrom
-3.456 -1.969 2.247
-3.788 2.387 0.910
-3.891 -0.969 -2.189
ATOMIC_POSITIONS crystal
Cu 0.500 0.500 0.500
Hf 0.000 0.000 0.000
Hf 0.250 0.250 0.250
Re 0.750 0.750 0.750
```

## Properties
The theoretical density is 14.94 g/cm3. The calculation puts the size of the total moment at 0.0 μB/f.u. As for the energy: -8.847 eV per atom.

***

Entry 5:
First-principles (PBE) data for a geometry-optimized In2Cu2Pd structure, as listed in OQMD. Values from VASP.

Quantum ESPRESSO input file:
```
&SYSTEM
  ibrav = 0, nat = 5, ntyp = 3
/
ATOMIC_SPECIES
Cu 63.55 Cu.upf
In 114.82 In.upf
Pd 106.42 Pd.upf
CELL_PARAMETERS angstrom
3.664 -5.416 1.296
5.103 -1.266 4.098
-6.058 2.657 -0.823
ATOMIC_POSITIONS crystal
Cu 0.250 0.750 0.500
Cu 0.750 0.250 0.500
In 0.606 0.606 0.000
In 0.394 0.394 0.000
Pd 0.000 0.000 0.000
```

## Properties
The theoretical density is 9.23 g/cm3. As for the energy: -3.500 eV per atom.

***

Entry 6:
First-principles (PBE) data for a geometry-optimized BaSiAg2Te3Se structure, as listed in OQMD. Values from VASP.

Quantum ESPRESSO input file:
```
&SYSTEM
  ibrav = 0, nat = 8, ntyp = 5
/
ATOMIC_SPECIES
Ba 137.33 Ba.upf
Te 127.60 Te.upf
Ag 107.87 Ag.upf
Si 28.09 Si.upf
Se 78.96 Se.upf
CELL_PARAMETERS angstrom
-1.131 5.717 3.783
-6.100 -0.634 -3.266
1.757 -5.456 3.676
ATOMIC_POSITIONS crystal
Ba 0.011 0.011 0.016
Te 0.537 0.148 0.997
Te 0.148 0.537 0.997
Te 0.851 0.851 0.384
Ag 0.248 0.737 0.503
Ag 0.737 0.248 0.503
Si 0.497 0.497 0.978
Se 0.470 0.470 0.620
```

## Properties
The theoretical density is 5.64 g/cm3. As for the energy: -3.820 eV per atom.

***

Entry 7:
First-principles (PBE) data for a geometry-optimized ReBW2 structure, as listed in OQMD. Values from VASP.

Quantum ESPRESSO input file:
```
&SYSTEM
  ibrav = 0, nat = 4, ntyp = 3
/
ATOMIC_SPECIES
W 183.84 W.upf
Re 186.21 Re.upf
B 10.81 B.upf
CELL_PARAMETERS angstrom
2.176 -3.684 -0.241
-2.093 -3.689 -0.614
0.329 -2.053 -3.748
ATOMIC_POSITIONS crystal
W 0.750 0.750 0.750
W 0.000 0.000 0.000
Re 0.250 0.250 0.250
B 0.500 0.500 0.500
```

## Properties
The theoretical density is 16.84 g/cm3. The calculation puts the size of the total moment at 0.0 μB/f.u. As for the energy: -10.582 eV per atom.

***

Entry 8:
First-principles (PBE) data for a geometry-optimized GaMo2 structure, as listed in OQMD. Values from VASP.

Quantum ESPRESSO input file:
```
&SYSTEM
  ibrav = 0, nat = 6, ntyp = 2
/
ATOMIC_SPECIES
Mo 95.94 Mo.upf
Ga 69.72 Ga.upf
CELL_PARAMETERS angstrom
0.000 3.708 3.708
3.708 0.000 3.708
3.708 3.708 0.000
ATOMIC_POSITIONS crystal
Mo 0.625 0.625 0.125
Mo 0.625 0.625 0.625
Mo 0.125 0.625 0.625
Mo 0.625 0.125 0.625
Ga 0.250 0.250 0.250
Ga 0.000 0.000 0.000
```

## Properties
The theoretical density is 8.52 g/cm3. The calculation puts the size of the total moment at 0.0 μB/f.u. As for the energy: -7.795 eV per atom.

***

Entry 9:
First-principles (PBE) data for a geometry-optimized Co7Re8 structure, as listed in OQMD. Values from VASP.

Quantum ESPRESSO input file:
```
&SYSTEM
  ibrav = 0, nat = 30, ntyp = 2
/
ATOMIC_SPECIES
Re 186.21 Re.upf
Co 58.93 Co.upf
CELL_PARAMETERS angstrom
-3.397 0.074 8.354
-6.937 -5.050 -2.776
2.523 -4.049 1.062
ATOMIC_POSITIONS crystal
Re 0.324 0.676 0.249
Re 0.676 0.324 0.249
Re 0.230 0.435 0.500
Re 0.435 0.230 0.500
Re 0.770 0.565 0.500
Re 0.935 0.270 0.000
Re 0.176 0.176 0.251
Re 0.065 0.730 0.000
Re 0.676 0.324 0.751
Re 0.824 0.824 0.251
Re 0.824 0.824 0.749
Re 0.176 0.176 0.749
Re 0.565 0.770 0.500
Re 0.730 0.065 0.000
Re 0.270 0.935 0.000
Re 0.324 0.676 0.751
Co 0.462 0.130 0.000
Co 0.962 0.370 0.500
Co 0.370 0.962 0.500
Co 0.538 0.870 0.000
Co 0.870 0.538 0.000
Co 0.000 0.000 0.000
Co 0.500 0.500 0.500
Co 0.402 0.402 0.000
Co 0.098 0.902 0.500
Co 0.038 0.630 0.500
Co 0.902 0.098 0.500
Co 0.130 0.462 0.000
Co 0.598 0.598 0.000
Co 0.630 0.038 0.500
```

## Properties
The theoretical density is 15.89 g/cm3. The energy relative to the lowest polymorph listed for this composition is 11.3 kJ per mole of atoms. The calculation puts the size of the total moment at 1.3 μB/f.u. As for the energy: -9.719 eV per atom.

***

Entry 10:
First-principles (PBE) data for a geometry-optimized Ba2LiAuN2 structure, as listed in OQMD. Values from VASP.

Quantum ESPRESSO input file:
```
&SYSTEM
  ibrav = 0, nat = 6, ntyp = 4
/
ATOMIC_SPECIES
Ba 137.33 Ba.upf
Li 6.94 Li.upf
Au 196.97 Au.upf
N 14.01 N.upf
CELL_PARAMETERS angstrom
-0.856 1.840 -3.499
-2.565 -2.727 1.532
-3.898 5.965 4.090
ATOMIC_POSITIONS crystal
Ba 0.333 0.667 0.261
Ba 0.333 0.667 0.739
Li 0.667 0.333 0.500
Au 0.000 0.000 0.000
N 0.667 0.333 0.000
N 0.000 0.000 0.500
```

## Properties
The theoretical density is 7.23 g/cm3. As for the energy: -4.303 eV per atom.

***

Entry 11:
First-principles (PBE) data for a geometry-optimized GdZn structure, as listed in OQMD. Values from VASP.

Quantum ESPRESSO input file:
```
&SYSTEM
  ibrav = 0, nat = 10, ntyp = 2
/
ATOMIC_SPECIES
Zn 65.41 Zn.upf
Gd 157.25 Gd.upf
CELL_PARAMETERS angstrom
2.785 4.835 0.000
-5.493 6.402 0.000
0.000 0.000 5.254
ATOMIC_POSITIONS crystal
Zn 0.052 0.209 0.500
Zn 0.850 0.600 0.500
Zn 0.008 0.998 0.000
Zn 0.659 0.991 0.500
Zn 0.408 0.202 0.000
Gd 0.201 0.600 0.000
Gd 0.221 0.835 0.500
Gd 0.625 0.825 0.000
Gd 0.457 0.365 0.500
Gd 0.851 0.375 0.000
```

## Properties
The theoretical density is 7.93 g/cm3. The energy relative to the lowest polymorph listed for this composition is 22.7 kJ per mole of atoms. The calculation puts the size of the total moment at 0.0 μB/f.u. As for the energy: -3.063 eV per atom.

***

Entry 12:
First-principles (PBE) data for a geometry-optimized CuHg2GeS4 structure, as listed in OQMD. Values from VASP.

Quantum ESPRESSO input file:
```
&SYSTEM
  ibrav = 0, nat = 8, ntyp = 4
/
ATOMIC_SPECIES
Hg 200.59 Hg.upf
S 32.06 S.upf
Ge 72.64 Ge.upf
Cu 63.55 Cu.upf
CELL_PARAMETERS angstrom
-2.866 2.866 5.748
2.866 -2.866 5.748
2.866 2.866 -5.748
ATOMIC_POSITIONS crystal
Hg 0.750 0.250 0.500
Hg 0.250 0.750 0.500
S 0.850 0.369 0.000
S 0.631 0.631 0.481
S 0.150 0.150 0.519
S 0.369 0.850 0.000
Ge 0.000 0.000 0.000
Cu 0.500 0.500 0.000
```

## Properties
The theoretical density is 5.85 g/cm3. As for the energy: -3.332 eV per atom.

***

- The lowest energy belongs to which entry?
  ReBW2

***

Repeat the third record exactly.
First-principles (PBE) data for a geometry-optimized NbAu3O4 structure, as listed in OQMD. Values from VASP.

Quantum ESPRESSO input file:
```
&SYSTEM
  ibrav = 0, nat = 8, ntyp = 3
/
ATOMIC_SPECIES
O 16.00 O.upf
Nb 92.91 Nb.upf
Au 196.97 Au.upf
CELL_PARAMETERS angstrom
6.561 1.508 0.134
2.779 4.976 3.584
-4.274 -5.176 0.520
ATOMIC_POSITIONS crystal
O 0.000 0.500 0.500
O 0.500 0.000 0.500
O 0.840 0.840 0.000
O 0.160 0.160 0.000
Nb 0.000 0.000 0.000
Au 0.250 0.750 0.500
Au 0.500 0.500 0.000
Au 0.750 0.250 0.500
```

## Properties
The theoretical density is 10.86 g/cm3. The calculation puts the size of the total moment at 0.0 μB/f.u. As for the energy: -5.431 eV per atom.

***

- Number 4 is which compound?
  Hf2CuRe

***

- What is the theoretical density in the sixth record?
  5.64 g/cm3